ZnFeP2O7 | PBE with a Hubbard U | relaxed

Unit cell a=5.6822 b=6.3786 c=7.4597 alpha=82.63 beta=86.99 gamma=72.06
Last column: nearest neighbours and their distance in Å.
Space group P-1 (No. 2)
One atom of each set of equivalent atoms:
Zn: 0.1779 0.3452 0.3394 [2 per cell]  5 O 2.01-2.21
Fe: 0.2378 0.8430 0.8011 [2 per cell]  5 O 1.99-2.19
P: 0.2799 0.8014 0.3884 [2 per cell]  4 O 1.54-1.60
P: 0.3070 0.3162 0.9057 [2 per cell]  4 O 1.51-1.61
O: 0.1213 0.6435 0.4249 [2 per cell]  1 P 1.54
O: 0.1219 0.0421 0.3308 [2 per cell]  1 P 1.54
O: 0.1429 0.5505 0.8333 [2 per cell]  1 P 1.54
O: 0.1899 0.1368 0.8873 [2 per cell]  1 P 1.51
O: 0.3972 0.3098 0.0980 [2 per cell]  1 P 1.54
O: 0.4427 0.7235 0.2141 [2 per cell]  2 P 1.60-1.61
O: 0.4458 0.7857 0.5494 [2 per cell]  1 P 1.54

Calculated values
- E (eV/atom) = -6.75
- magnetization (μB/f.u.) = 4.00
- density (g/cm3) = 3.84